## InAsPt (meta-GGA SCAN)

Data for InAsPt at its PBEsol-relaxed geometry.

```
data_InAsPt
_chemical_formula_sum 'In2 As2 Pt2'
_cell_length_a 3.164
_cell_length_b 3.164
_cell_length_c 11.486
_cell_angle_alpha 90.00
_cell_angle_beta 90.00
_cell_angle_gamma 90.00
_space_group_name_H-M_alt 'I 4 m m'
_space_group_IT_number 107
_space_group_name_Hall 'I 4 -2'
loop_
_atom_site_label
_atom_site_type_symbol
_atom_site_fract_x
_atom_site_fract_y
_atom_site_fract_z
In1 In 0.000 0.000 0.000
As1 As 0.000 0.000 0.715
Pt1 Pt 0.000 0.000 0.331
```

Values from the calculation:
Electronic total energy: -248.18 eV for the cell shown